Density functional theory data (GGA+U) for a relaxed Rb5FeO4 crystal.

Calculated total energy in eV/atom: -4.236

Cell lengths 6.648, 8.073, 8.815 Å; angles 90.00, 90.00, 90.00 degrees
Each line ends with the local moment (μB).
Element x y z (fractional)
Rb: 0.144 0.500 0.000  0.01
Rb: 0.737 0.238 0.191  0.00
Rb: 0.737 0.762 0.809  0.00
Rb: 0.737 0.238 0.809  0.00
Rb: 0.263 0.262 0.309  0.00
Rb: 0.263 0.738 0.691  0.00
Rb: 0.263 0.738 0.309  0.00
Rb: 0.263 0.262 0.691  0.00
Rb: 0.737 0.762 0.191  0.00
Rb: 0.856 0.000 0.500  0.01
O: 0.952 0.500 0.312  0.13
O: 0.365 0.796 0.000  0.14
O: 0.048 0.000 0.812  0.13
O: 0.048 0.000 0.188  0.13
O: 0.365 0.204 0.000  0.14
O: 0.635 0.704 0.500  0.14
O: 0.635 0.296 0.500  0.14
O: 0.952 0.500 0.688  0.13
Fe: 0.793 0.500 0.500  4.20
Fe: 0.207 0.000 0.000  4.20



Density functional theory data (GGA+U) for a relaxed Rb3FeO3 crystal.

DOS at the Fermi energy in states/eV/f.u.: 0.0
Calculated total energy in eV/atom: -4.714

Cell lengths 6.941, 6.972, 6.972 Å; angles 114.80, 96.92, 96.92 degrees
Each line ends with the local moment (μB).
Element x y z (fractional)
Rb: 0.654 0.372 0.372  0.00
Rb: 0.500 0.806 0.194  0.01
Rb: 0.346 0.628 0.628  0.00
Rb: 0.000 0.740 0.260  0.00
Rb: 0.500 0.194 0.806  0.01
Rb: 0.000 0.260 0.740  0.00
O: 0.265 0.418 0.154  0.18
O: 0.735 0.846 0.582  0.18
O: 0.735 0.582 0.846  0.18
O: 0.265 0.154 0.418  0.18
O: 0.853 0.099 0.099  0.23
O: 0.147 0.901 0.901  0.23
Fe: 0.853 0.835 0.835  4.19
Fe: 0.147 0.165 0.165  4.19



Density functional theory data (GGA+U) for a relaxed RbFe3O crystal.

DOS at the Fermi energy in states/eV/f.u.: 2.7
Calculated total energy in eV/atom: -3.821

Cell lengths 4.708, 4.708, 4.708 Å; angles 90.00, 90.00, 90.00 degrees
Each line ends with the local moment (μB).
Element x y z (fractional)
O: 0.000 0.000 0.000  0.12
Rb: 0.500 0.500 0.500  -0.03
Fe: 0.000 0.000 0.500  3.57
Fe: 0.500 0.000 0.000  3.48
Fe: 0.000 0.500 0.000  3.44



Density functional theory data (GGA+U) for a relaxed Rb6Fe2O5 crystal.

Calculated total energy in eV/atom: -4.460

Cell lengths 7.042, 7.042, 7.082 Å; angles 88.26, 88.26, 118.08 degrees
Each line ends with the local moment (μB).
Element x y z (fractional)
Fe: 0.207 0.207 0.328  3.72
Fe: 0.809 0.809 0.695  3.72
O: 0.561 0.832 0.772  0.09
O: 0.436 0.165 0.224  0.09
O: 0.051 0.051 0.561  0.12
O: 0.165 0.436 0.224  0.09
O: 0.832 0.561 0.772  0.09
Rb: 0.242 0.760 0.503  0.00
Rb: 0.350 0.350 0.815  0.00
Rb: 0.215 0.789 0.998  0.00
Rb: 0.640 0.640 0.177  -0.01
Rb: 0.760 0.242 0.503  0.00
Rb: 0.789 0.215 0.998  0.00



Density functional theory data (GGA+U) for a relaxed Rb5FeO4 crystal.

Calculated total energy in eV/atom: -4.289

Cell lengths 7.089, 12.145, 21.618 Å; angles 90.00, 90.00, 90.00 degrees
Each line ends with the local moment (μB).
Element x y z (fractional)
O: 0.710 0.897 0.054  0.14
O: 0.290 0.103 0.946  0.14
O: 0.790 0.897 0.554  0.14
O: 0.210 0.103 0.446  0.14
O: 0.290 0.603 0.554  0.14
O: 0.244 0.610 0.199  0.14
O: 0.248 0.378 0.630  0.14
O: 0.744 0.890 0.199  0.14
O: 0.404 0.960 0.616  0.14
O: 0.252 0.878 0.370  0.14
O: 0.756 0.890 0.699  0.14
O: 0.790 0.397 0.946  0.14
O: 0.244 0.110 0.301  0.14
O: 0.710 0.397 0.446  0.14
O: 0.096 0.460 0.384  0.14
O: 0.752 0.622 0.370  0.14
O: 0.248 0.878 0.870  0.14
O: 0.904 0.040 0.884  0.14
O: 0.256 0.110 0.801  0.14
O: 0.210 0.603 0.054  0.14
O: 0.252 0.378 0.130  0.14
O: 0.256 0.610 0.699  0.14
O: 0.596 0.040 0.384  0.14
O: 0.596 0.540 0.116  0.14
O: 0.756 0.390 0.801  0.14
O: 0.748 0.122 0.630  0.14
O: 0.904 0.540 0.616  0.14
O: 0.404 0.460 0.884  0.14
O: 0.748 0.622 0.870  0.14
O: 0.096 0.960 0.116  0.14
O: 0.752 0.122 0.130  0.14
O: 0.744 0.390 0.301  0.14
Rb: 0.419 0.567 0.434  0.01
Rb: 0.073 0.360 0.502  0.00
Rb: 0.106 0.673 0.324  0.01
Rb: 0.427 0.860 0.498  0.00
Rb: 0.933 0.704 0.133  0.00
Rb: 0.573 0.140 0.502  0.00
Rb: 0.067 0.296 0.867  0.00
Rb: 0.394 0.673 0.824  0.01
Rb: 0.073 0.860 0.998  0.00
Rb: 0.106 0.173 0.176  0.01
Rb: 0.606 0.827 0.324  0.01
Rb: 0.927 0.140 0.002  0.00
Rb: 0.433 0.296 0.367  0.00
Rb: 0.388 0.918 0.747  0.00
Rb: 0.888 0.582 0.747  0.00
Rb: 0.606 0.327 0.176  0.01
Rb: 0.394 0.173 0.676  0.01
Rb: 0.567 0.704 0.633  0.00
Rb: 0.927 0.640 0.498  0.00
Rb: 0.919 0.933 0.434  0.01
Rb: 0.581 0.933 0.934  0.01
Rb: 0.612 0.582 0.247  0.00
Rb: 0.567 0.204 0.867  0.00
Rb: 0.894 0.327 0.676  0.01
Rb: 0.081 0.567 0.934  0.01
Rb: 0.612 0.082 0.253  0.00
Rb: 0.433 0.796 0.133  0.00
Rb: 0.573 0.640 0.998  0.00
Rb: 0.894 0.827 0.824  0.01
Rb: 0.388 0.418 0.753  0.00
Rb: 0.419 0.067 0.066  0.01
Rb: 0.581 0.433 0.566  0.01
Rb: 0.888 0.082 0.753  0.00
Rb: 0.919 0.433 0.066  0.01
Rb: 0.933 0.204 0.367  0.00
Rb: 0.081 0.067 0.566  0.01
Rb: 0.112 0.418 0.253  0.00
Rb: 0.067 0.796 0.633  0.00
Rb: 0.112 0.918 0.247  0.00
Rb: 0.427 0.360 0.002  0.00
Fe: 0.676 0.968 0.625  4.17
Fe: 0.176 0.032 0.875  4.17
Fe: 0.324 0.032 0.375  4.17
Fe: 0.824 0.968 0.125  4.17
Fe: 0.324 0.532 0.125  4.17
Fe: 0.176 0.532 0.625  4.17
Fe: 0.676 0.468 0.875  4.17
Fe: 0.824 0.468 0.375  4.17



Density functional theory data (GGA+U) for a relaxed Rb2Fe2O3 crystal.

Calculated total energy in eV/atom: -5.358

Cell lengths 6.319, 8.210, 12.085 Å; angles 90.00, 90.00, 90.00 degrees
Each line ends with the local moment (μB).
Element x y z (fractional)
O: 0.998 0.153 0.145  0.13
O: 0.250 0.513 0.124  0.12
O: 0.250 0.987 0.624  0.12
O: 0.750 0.487 0.876  0.12
O: 0.750 0.013 0.376  0.12
O: 0.002 0.653 0.355  0.13
O: 0.998 0.347 0.645  0.13
O: 0.502 0.153 0.145  0.13
O: 0.502 0.347 0.645  0.13
O: 0.498 0.847 0.855  0.13
O: 0.002 0.847 0.855  0.13
O: 0.498 0.653 0.355  0.13
Fe: 0.750 0.720 0.855  3.75
Fe: 0.750 0.098 0.227  3.74
Fe: 0.250 0.280 0.145  3.75
Fe: 0.250 0.598 0.273  3.74
Fe: 0.750 0.780 0.355  3.75
Fe: 0.250 0.902 0.773  3.74
Fe: 0.750 0.402 0.727  3.74
Fe: 0.250 0.220 0.645  3.75
Rb: 0.250 0.501 0.880  0.00
Rb: 0.250 0.878 0.058  0.00
Rb: 0.250 0.999 0.380  0.00
Rb: 0.250 0.622 0.558  0.00
Rb: 0.750 0.001 0.620  0.00
Rb: 0.750 0.122 0.942  0.00
Rb: 0.750 0.378 0.442  0.00
Rb: 0.750 0.499 0.120  0.00



Density functional theory data (GGA+U) for a relaxed RbFe2O crystal.

DOS at the Fermi energy in states/eV/f.u.: 3.1
Calculated total energy in eV/atom: -4.128

Cell lengths 6.437, 6.437, 6.433 Å; angles 59.98, 59.98, 90.00 degrees
Each line ends with the local moment (μB).
Element x y z (fractional)
Rb: 0.750 0.250 0.500  -0.06
Rb: 0.000 0.000 0.000  -0.06
Fe: 0.375 0.625 0.250  3.28
Fe: 0.375 0.125 0.250  3.32
Fe: 0.875 0.625 0.750  3.20
Fe: 0.375 0.625 0.750  3.26
O: 0.500 0.500 0.000  -0.07
O: 0.250 0.750 0.500  -0.07



Density functional theory data (GGA+U) for a relaxed Rb3FeO3 crystal.

DOS at the Fermi energy in states/eV/f.u.: 0.0
Calculated total energy in eV/atom: -4.706

Cell lengths 13.316, 7.013, 7.555 Å; angles 63.25, 90.00, 90.00 degrees
Each line ends with the local moment (μB).
Element x y z (fractional)
Rb: 0.539 0.996 0.734  0.00
Rb: 0.296 0.854 0.932  0.00
Rb: 0.176 0.927 0.480  0.01
Rb: 0.704 0.146 0.068  0.00
Rb: 0.676 0.573 0.520  0.01
Rb: 0.039 0.504 0.266  0.00
Rb: 0.324 0.427 0.480  0.01
Rb: 0.204 0.354 0.932  0.00
Rb: 0.824 0.073 0.520  0.01
Rb: 0.796 0.646 0.068  0.00
Rb: 0.961 0.496 0.734  0.00
Rb: 0.461 0.004 0.266  0.00
O: 0.875 0.777 0.353  0.18
O: 0.913 0.031 0.883  0.22
O: 0.587 0.531 0.883  0.22
O: 0.625 0.277 0.353  0.18
O: 0.413 0.469 0.117  0.22
O: 0.406 0.231 0.849  0.19
O: 0.125 0.223 0.647  0.18
O: 0.375 0.723 0.647  0.18
O: 0.906 0.269 0.151  0.19
O: 0.594 0.769 0.151  0.19
O: 0.087 0.969 0.117  0.22
O: 0.094 0.731 0.849  0.19
Fe: 0.557 0.511 0.151  4.18
Fe: 0.943 0.011 0.151  4.18
Fe: 0.057 0.989 0.849  4.18
Fe: 0.443 0.489 0.849  4.18



Density functional theory data (GGA+U) for a relaxed Rb2Fe2O3 crystal.

Calculated total energy in eV/atom: -5.300

Cell lengths 4.006, 6.766, 6.076 Å; angles 119.71, 90.00, 107.22 degrees
Each line ends with the local moment (μB).
Element x y z (fractional)
O: 0.338 0.676 0.557  0.12
O: 0.662 0.324 0.443  0.12
O: 0.000 0.000 0.000  0.10
Rb: 0.597 0.195 0.842  0.00
Rb: 0.403 0.805 0.158  0.00
Fe: 0.153 0.305 0.343  3.76
Fe: 0.847 0.695 0.657  3.76



Density functional theory data (GGA+U) for a relaxed RbFeO3 crystal.

DOS at the Fermi energy in states/eV/f.u.: 4.8
Calculated total energy in eV/atom: -5.144

Cell lengths 3.962, 3.962, 3.962 Å; angles 90.00, 90.00, 90.00 degrees
Each line ends with the local moment (μB).
Element x y z (fractional)
O: 0.500 0.000 0.000  0.45
O: 0.000 0.500 0.000  0.39
O: 0.000 0.000 0.500  0.25
Rb: 0.500 0.500 0.500  0.01
Fe: 0.000 0.000 0.000  3.94



Density functional theory data (GGA+U) for a relaxed Rb5FeO4 crystal.

Calculated total energy in eV/atom: -4.288

Cell lengths 12.129, 7.118, 11.013 Å; angles 82.24, 90.00, 90.00 degrees
Each line ends with the local moment (μB).
Element x y z (fractional)
Fe: 0.533 0.377 0.254  4.17
Fe: 0.033 0.123 0.746  4.17
Fe: 0.967 0.877 0.254  4.17
Fe: 0.467 0.623 0.746  4.17
O: 0.621 0.698 0.758  0.14
O: 0.879 0.198 0.758  0.14
O: 0.103 0.265 0.605  0.14
O: 0.538 0.644 0.270  0.14
O: 0.897 0.735 0.395  0.14
O: 0.113 0.164 0.894  0.14
O: 0.379 0.302 0.242  0.14
O: 0.887 0.836 0.106  0.14
O: 0.962 0.144 0.270  0.14
O: 0.397 0.765 0.605  0.14
O: 0.613 0.336 0.106  0.14
O: 0.387 0.664 0.894  0.14
O: 0.038 0.856 0.730  0.14
O: 0.603 0.235 0.395  0.14
O: 0.462 0.356 0.730  0.14
O: 0.121 0.802 0.242  0.14
Rb: 0.433 0.946 0.368  0.01
Rb: 0.067 0.446 0.368  0.01
Rb: 0.704 0.995 0.236  0.00
Rb: 0.582 0.724 0.013  0.00
Rb: 0.567 0.054 0.632  0.01
Rb: 0.204 0.505 0.764  0.00
Rb: 0.796 0.495 0.236  0.00
Rb: 0.918 0.224 0.013  0.00
Rb: 0.296 0.005 0.764  0.00
Rb: 0.933 0.554 0.632  0.01
Rb: 0.361 0.426 0.495  0.00
Rb: 0.861 0.074 0.505  0.00
Rb: 0.418 0.276 0.987  0.00
Rb: 0.825 0.834 0.849  0.01
Rb: 0.639 0.574 0.505  0.00
Rb: 0.325 0.666 0.151  0.01
Rb: 0.175 0.166 0.151  0.01
Rb: 0.139 0.926 0.495  0.00
Rb: 0.675 0.334 0.849  0.01
Rb: 0.082 0.776 0.987  0.00



Density functional theory data (GGA+U) for a relaxed Rb8Fe2O7 crystal.

DOS at the Fermi energy in states/eV/f.u.: 0.0
Calculated total energy in eV/atom: -4.419

Cell lengths 10.129, 12.015, 12.881 Å; angles 90.00, 90.00, 107.63 degrees
Each line ends with the local moment (μB).
Element x y z (fractional)
Rb: 0.120 0.924 0.487  0.01
Rb: 0.071 0.641 0.455  0.01
Rb: 0.658 0.971 0.009  0.01
Rb: 0.498 0.639 0.732  0.00
Rb: 0.502 0.361 0.268  0.00
Rb: 0.765 0.266 0.047  0.00
Rb: 0.705 0.449 0.757  0.00
Rb: 0.900 0.455 0.256  0.00
Rb: 0.235 0.734 0.953  0.00
Rb: 0.235 0.234 0.547  0.00
Rb: 0.295 0.051 0.257  0.00
Rb: 0.071 0.141 0.045  0.01
Rb: 0.342 0.529 0.509  0.01
Rb: 0.929 0.359 0.545  0.01
Rb: 0.880 0.076 0.513  0.01
Rb: 0.120 0.424 0.013  0.01
Rb: 0.765 0.766 0.453  0.00
Rb: 0.432 0.356 0.024  0.01
Rb: 0.568 0.644 0.976  0.01
Rb: 0.342 0.029 0.991  0.01
Rb: 0.658 0.471 0.491  0.01
Rb: 0.880 0.576 0.987  0.01
Rb: 0.705 0.949 0.743  0.00
Rb: 0.929 0.859 0.955  0.01
Rb: 0.498 0.139 0.768  0.00
Rb: 0.568 0.144 0.524  0.01
Rb: 0.100 0.545 0.744  0.00
Rb: 0.295 0.551 0.243  0.00
Rb: 0.502 0.861 0.232  0.00
Rb: 0.432 0.856 0.476  0.01
Rb: 0.100 0.045 0.756  0.00
Rb: 0.900 0.955 0.244  0.00
Fe: 0.909 0.742 0.704  4.21
Fe: 0.091 0.758 0.204  4.21
Fe: 0.909 0.242 0.796  4.21
Fe: 0.292 0.348 0.786  4.20
Fe: 0.708 0.152 0.286  4.20
Fe: 0.708 0.652 0.214  4.20
Fe: 0.292 0.848 0.714  4.20
Fe: 0.091 0.258 0.296  4.21
O: 0.106 0.125 0.372  0.17
O: 0.308 0.219 0.870  0.16
O: 0.894 0.375 0.872  0.17
O: 0.106 0.625 0.128  0.17
O: 0.580 0.109 0.169  0.14
O: 0.778 0.198 0.683  0.15
O: 0.902 0.707 0.273  0.19
O: 0.902 0.207 0.227  0.19
O: 0.222 0.802 0.317  0.15
O: 0.125 0.891 0.110  0.14
O: 0.875 0.109 0.890  0.14
O: 0.778 0.698 0.817  0.15
O: 0.692 0.781 0.130  0.16
O: 0.222 0.302 0.183  0.15
O: 0.328 0.483 0.874  0.16
O: 0.098 0.293 0.727  0.19
O: 0.125 0.391 0.390  0.14
O: 0.875 0.609 0.610  0.14
O: 0.420 0.891 0.831  0.14
O: 0.328 0.983 0.626  0.16
O: 0.894 0.875 0.628  0.17
O: 0.692 0.281 0.370  0.16
O: 0.580 0.609 0.331  0.14
O: 0.308 0.719 0.630  0.16
O: 0.672 0.017 0.374  0.16
O: 0.098 0.793 0.773  0.19
O: 0.672 0.517 0.126  0.16
O: 0.420 0.391 0.669  0.14



Density functional theory data (GGA+U) for a relaxed Rb3FeO3 crystal.

DOS at the Fermi energy in states/eV/f.u.: 0.0
Calculated total energy in eV/atom: -4.716

Cell lengths 7.002, 7.722, 11.149 Å; angles 84.39, 90.00, 90.00 degrees
Each line ends with the local moment (μB).
Element x y z (fractional)
O: 0.942 0.706 0.181  0.19
O: 0.827 0.243 0.460  0.18
O: 0.447 0.097 0.592  0.22
O: 0.558 0.706 0.681  0.19
O: 0.442 0.294 0.319  0.19
O: 0.553 0.903 0.408  0.22
O: 0.947 0.903 0.908  0.22
O: 0.173 0.757 0.540  0.18
O: 0.673 0.243 0.960  0.18
O: 0.327 0.757 0.040  0.18
O: 0.058 0.294 0.819  0.19
O: 0.053 0.097 0.092  0.22
Fe: 0.420 0.846 0.564  4.19
Fe: 0.080 0.846 0.064  4.19
Fe: 0.920 0.154 0.936  4.19
Fe: 0.580 0.154 0.436  4.19
Rb: 0.686 0.366 0.696  0.00
Rb: 0.176 0.355 0.573  0.01
Rb: 0.824 0.645 0.427  0.01
Rb: 0.314 0.634 0.304  0.00
Rb: 0.324 0.355 0.073  0.01
Rb: 0.814 0.366 0.196  0.00
Rb: 0.375 0.050 0.847  0.00
Rb: 0.125 0.050 0.347  0.00
Rb: 0.875 0.950 0.653  0.00
Rb: 0.625 0.950 0.153  0.00
Rb: 0.676 0.645 0.927  0.01
Rb: 0.186 0.634 0.804  0.00